12
Lattice="4.411 0.000 0.000 0.000 8.794 -0.489 0.000 -0.037 10.803" Properties=species:S:1:pos:R:3 comment="PbSeN | the Alexandria database | GGA-PBE | relaxed" relative_energy_mev_per_atom=0.0 total_magnetization_mub_per_atom=0.000 e_form_raw_mev_per_atom=-334.1 pbc="T T T"
Pb 1.105 5.404 3.713
Pb 3.310 7.750 6.357
Pb 1.101 1.007 3.957
Pb 3.306 3.353 6.601
Se 3.309 7.595 3.525
Se 1.103 5.559 6.544
Se 3.308 3.198 3.769
Se 1.103 1.162 6.789
N 4.063 4.070 10.235
N 2.554 8.467 9.990
N 1.857 0.290 0.324
N 0.348 4.687 0.079